No. 1
First-principles (GGA-PBE) data for an optimized crystal structure of LaPO3, as listed in Alexandria.

a = 4.4459 Å, b = 4.4459 Å, c = 4.4459 Å
α = 90.00°, β = 90.00°, γ = 90.00°
Positions (direct):
La  0.0000  0.0000  0.0000
P  0.5000  0.5000  0.5000
O  0.0000  0.0000  0.5000
O  0.0000  0.5000  0.0000
O  0.5000  0.0000  0.0000

Summary:
Raw formation energy ... -0.506 eV/atom
SG ... Pm-3m
Energy ... -5.5480 eV/atom
Volume ... 17.58 Å³/atom

No. 2
First-principles (GGA-PBE) data for an optimized crystal structure of LaPO6, as listed in Alexandria.

a = 5.7469 Å, b = 5.7469 Å, c = 5.7469 Å
α = 60.00°, β = 60.00°, γ = 60.00°
Positions (direct):
La  0.0000  0.0000  0.0000
P  0.5000  0.5000  0.5000
O  0.2968  0.2968  0.7032
O  0.2968  0.7032  0.2968
O  0.2968  0.7032  0.7032
O  0.7032  0.2968  0.2968
O  0.7032  0.2968  0.7032
O  0.7032  0.7032  0.2968

Summary:
Raw formation energy ... -1.539 eV/atom
SG ... Fm-3m
Energy ... -6.5501 eV/atom
Volume ... 16.78 Å³/atom

No. 3
First-principles (GGA-PBE) data for an optimized crystal structure of La3PO, as listed in Alexandria.

a = 6.8796 Å, b = 3.8635 Å, c = 9.5416 Å
α = 90.00°, β = 104.53°, γ = 90.00°
Positions (direct):
La  0.0799  0.2500  0.3247
La  0.2856  0.7500  0.0651
La  0.4064  0.7500  0.6346
La  0.5936  0.2500  0.3654
La  0.7144  0.2500  0.9349
La  0.9201  0.7500  0.6753
P  0.2572  0.2500  0.8245
P  0.7428  0.7500  0.1755
O  0.3270  0.7500  0.3522
O  0.6730  0.2500  0.6478

Summary:
Raw formation energy ... -1.692 eV/atom
Excess energy over the best structure of this formula in the dataset ... 0.00 eV/f.u.
SG ... P2_1/m
Energy ... -6.7221 eV/atom
Volume ... 24.55 Å³/atom

No. 4
First-principles (GGA-PBE) data for an optimized crystal structure of La4P3O, as listed in Alexandria.

a = 4.1512 Å, b = 11.6618 Å, c = 8.2615 Å
α = 90.00°, β = 90.00°, γ = 90.00°
Positions (direct):
La  0.0000  0.0000  0.0000
La  0.0000  0.0000  0.4780
La  0.0000  0.5000  0.5000
La  0.0000  0.5000  0.9780
La  0.5000  0.2406  0.2388
La  0.5000  0.2594  0.7388
La  0.5000  0.7406  0.7388
La  0.5000  0.7594  0.2388
P  0.0000  0.2500  0.4888
P  0.0000  0.2500  0.9888
P  0.0000  0.7500  0.4888
P  0.0000  0.7500  0.9888
P  0.5000  0.0000  0.7389
P  0.5000  0.5000  0.2389
O  0.5000  0.0000  0.2384
O  0.5000  0.5000  0.7384

Summary:
Raw formation energy ... -1.831 eV/atom
SG ... Amm2
Energy ... -6.9430 eV/atom
Volume ... 25.00 Å³/atom

No. 5
First-principles (GGA-PBE) data for an optimized crystal structure of LaPO3, as listed in Alexandria.

a = 3.9235 Å, b = 3.9235 Å, c = 3.9235 Å
α = 90.00°, β = 90.00°, γ = 90.00°
Positions (direct):
La  0.0000  0.0000  0.0000
P  0.5000  0.5000  0.5000
O  0.0000  0.5000  0.5000
O  0.5000  0.0000  0.5000
O  0.5000  0.5000  0.0000

Summary:
Raw formation energy ... -1.997 eV/atom
SG ... Pm-3m
Energy ... -7.0395 eV/atom
Volume ... 12.08 Å³/atom

No. 6
First-principles (GGA-PBE) data for an optimized crystal structure of LaPO2, as listed in Alexandria.

a = 4.4730 Å, b = 4.4730 Å, c = 13.5309 Å
α = 90.00°, β = 90.00°, γ = 90.00°
Positions (direct):
La  0.0000  0.0000  0.0000
La  0.0000  0.5000  0.2500
La  0.5000  0.0000  0.7500
La  0.5000  0.5000  0.5000
P  0.0000  0.0000  0.5000
P  0.0000  0.5000  0.7500
P  0.5000  0.0000  0.2500
P  0.5000  0.5000  0.0000
O  0.2157  0.2500  0.6250
O  0.2500  0.7157  0.8750
O  0.2500  0.7843  0.3750
O  0.2843  0.2500  0.1250
O  0.7157  0.7500  0.1250
O  0.7500  0.2157  0.3750
O  0.7500  0.2843  0.8750
O  0.7843  0.7500  0.6250

Summary:
Raw formation energy ... -1.420 eV/atom
SG ... I-42d
Energy ... -6.4837 eV/atom
Volume ... 16.92 Å³/atom

No. 7
First-principles (GGA-PBE) data for an optimized crystal structure of La12P3O5, as listed in Alexandria.

a = 13.8321 Å, b = 13.8321 Å, c = 13.8321 Å
α = 109.47°, β = 109.47°, γ = 109.47°
Positions (direct):
La  0.0226  0.2069  0.1173
La  0.0226  0.3156  0.9052
La  0.0896  0.7069  0.6844
La  0.0896  0.8827  0.4052
La  0.0948  0.6173  0.4104
La  0.0948  0.9774  0.6844
La  0.1173  0.0226  0.2069
La  0.1173  0.5948  0.9104
La  0.1844  0.2069  0.5896
La  0.1844  0.4774  0.5948
La  0.2069  0.1173  0.0226
La  0.2069  0.5896  0.1844
La  0.2931  0.3156  0.9104
La  0.2931  0.4774  0.3827
La  0.3156  0.9052  0.0226
La  0.3156  0.9104  0.2931
La  0.3827  0.2931  0.4774
La  0.3827  0.5896  0.9052
La  0.4052  0.0896  0.8827
La  0.4052  0.8156  0.5226
La  0.4104  0.0948  0.6173
La  0.4104  0.8156  0.7931
La  0.4774  0.3827  0.2931
La  0.4774  0.5948  0.1844
La  0.5226  0.4052  0.8156
La  0.5226  0.6173  0.7069
La  0.5896  0.1844  0.2069
La  0.5896  0.9052  0.3827
La  0.5948  0.1844  0.4774
La  0.5948  0.9104  0.1173
La  0.6173  0.4104  0.0948
La  0.6173  0.7069  0.5226
La  0.6844  0.0896  0.7069
La  0.6844  0.0948  0.9774
La  0.7069  0.5226  0.6173
La  0.7069  0.6844  0.0896
La  0.7931  0.4104  0.8156
La  0.7931  0.8827  0.9774
La  0.8156  0.5226  0.4052
La  0.8156  0.7931  0.4104
La  0.8827  0.4052  0.0896
La  0.8827  0.9774  0.7931
La  0.9052  0.0226  0.3156
La  0.9052  0.3827  0.5896
La  0.9104  0.1173  0.5948
La  0.9104  0.2931  0.3156
La  0.9774  0.6844  0.0948
La  0.9774  0.7931  0.8827
P  0.1250  0.2500  0.3750
P  0.1250  0.3750  0.7500
P  0.2500  0.3750  0.1250
P  0.2500  0.8750  0.6250
P  0.3750  0.1250  0.2500
P  0.3750  0.7500  0.1250
P  0.6250  0.2500  0.8750
P  0.6250  0.8750  0.7500
P  0.7500  0.1250  0.3750
P  0.7500  0.6250  0.8750
P  0.8750  0.6250  0.2500
P  0.8750  0.7500  0.6250
O  0.0000  0.0000  0.0000
O  0.0000  0.0000  0.5000
O  0.0000  0.5000  0.0000
O  0.0000  0.5000  0.5000
O  0.1250  0.7500  0.8750
O  0.1250  0.8750  0.2500
O  0.2500  0.1250  0.8750
O  0.2500  0.6250  0.3750
O  0.3750  0.2500  0.6250
O  0.3750  0.6250  0.7500
O  0.5000  0.0000  0.0000
O  0.5000  0.0000  0.5000
O  0.5000  0.5000  0.0000
O  0.5000  0.5000  0.5000
O  0.6250  0.3750  0.2500
O  0.6250  0.7500  0.3750
O  0.7500  0.3750  0.6250
O  0.7500  0.8750  0.1250
O  0.8750  0.1250  0.7500
O  0.8750  0.2500  0.1250

Summary:
Raw formation energy ... -1.763 eV/atom
SG ... Ia-3d
Energy ... -6.7709 eV/atom
Volume ... 25.47 Å³/atom

No. 8
First-principles (GGA-PBE) data for an optimized crystal structure of LaP3O, as listed in Alexandria.

a = 5.5657 Å, b = 5.5657 Å, c = 5.5657 Å
α = 90.00°, β = 90.00°, γ = 90.00°
Positions (direct):
La  0.0000  0.0000  0.0000
P  0.0000  0.0000  0.5000
P  0.0000  0.5000  0.0000
P  0.5000  0.0000  0.0000
O  0.5000  0.5000  0.5000

Summary:
Raw formation energy ... 1.621 eV/atom
Excess energy over the best structure of this formula in the dataset ... 9.95 eV/f.u.
SG ... Pm-3m
Energy ... -3.6023 eV/atom
Volume ... 34.48 Å³/atom

No. 9
First-principles (GGA-PBE) data for an optimized crystal structure of LaP3O9, as listed in Alexandria.

a = 7.1891 Å, b = 7.1891 Å, c = 7.4953 Å
α = 90.00°, β = 90.00°, γ = 105.14°
Positions (direct):
La  0.1290  0.1290  0.0000
La  0.8710  0.8710  0.5000
P  0.2518  0.2518  0.5000
P  0.3178  0.6682  0.9517
P  0.3318  0.6822  0.5483
P  0.6682  0.3178  0.0483
P  0.6822  0.3318  0.4517
P  0.7482  0.7482  0.0000
O  0.1382  0.1735  0.6663
O  0.1722  0.7790  0.5382
O  0.1735  0.1382  0.3337
O  0.2210  0.8278  0.9618
O  0.2225  0.4776  0.0340
O  0.2522  0.4695  0.4613
O  0.3729  0.6271  0.7500
O  0.4695  0.2522  0.5387
O  0.4776  0.2225  0.9660
O  0.5224  0.7775  0.4660
O  0.5305  0.7478  0.0387
O  0.6271  0.3729  0.2500
O  0.7478  0.5305  0.9613
O  0.7775  0.5224  0.5340
O  0.7790  0.1722  0.4618
O  0.8265  0.8618  0.8337
O  0.8278  0.2210  0.0382
O  0.8618  0.8265  0.1663

Summary:
Raw formation energy ... -2.529 eV/atom
SG ... C222_1
Energy ... -7.5886 eV/atom
Volume ... 14.38 Å³/atom

No. 10
First-principles (GGA-PBE) data for an optimized crystal structure of La3PO, as listed in Alexandria.

a = 4.8994 Å, b = 4.8994 Å, c = 4.8994 Å
α = 90.00°, β = 90.00°, γ = 90.00°
Positions (direct):
La  0.0000  0.0000  0.5000
La  0.0000  0.5000  0.0000
La  0.5000  0.0000  0.0000
P  0.5000  0.5000  0.5000
O  0.0000  0.0000  0.0000

Summary:
Raw formation energy ... -1.465 eV/atom
Excess energy over the best structure of this formula in the dataset ... 1.14 eV/f.u.
SG ... Pm-3m
Energy ... -6.4950 eV/atom
Volume ... 23.52 Å³/atom

No. 11
First-principles (GGA-PBE) data for an optimized crystal structure of LaP2O6, as listed in Alexandria.

a = 7.1968 Å, b = 7.1968 Å, c = 5.9945 Å
α = 106.32°, β = 106.32°, γ = 84.67°
Positions (direct):
La  0.1433  0.8567  0.7500
La  0.8567  0.1433  0.2500
P  0.2345  0.3563  0.7672
P  0.3563  0.2345  0.2672
P  0.6437  0.7655  0.7328
P  0.7655  0.6437  0.2328
O  0.0854  0.1870  0.6496
O  0.1324  0.5546  0.8158
O  0.1870  0.0854  0.1496
O  0.3232  0.3690  0.5182
O  0.3690  0.3232  0.0182
O  0.4454  0.8676  0.6842
O  0.5546  0.1324  0.3158
O  0.6310  0.6768  0.9818
O  0.6768  0.6310  0.4818
O  0.8130  0.9146  0.8504
O  0.8676  0.4454  0.1842
O  0.9146  0.8130  0.3504

Summary:
Raw formation energy ... -2.349 eV/atom
SG ... C2/c
Energy ... -7.4044 eV/atom
Volume ... 15.88 Å³/atom

No. 12
First-principles (GGA-PBE) data for an optimized crystal structure of LaPPbO2, as listed in Alexandria.

a = 4.3512 Å, b = 4.3512 Å, c = 5.1677 Å
α = 90.00°, β = 90.00°, γ = 90.00°
Positions (direct):
La  0.0000  0.0000  0.0000
P  0.5000  0.5000  0.0000
Pb  0.5000  0.5000  0.5000
O  0.0000  0.5000  0.5000
O  0.5000  0.0000  0.5000

Summary:
Raw formation energy ... -0.981 eV/atom
Excess energy over the best structure of this formula in the dataset ... 0.18 eV/f.u.
SG ... P4/mmm
Energy ... -5.7739 eV/atom
Volume ... 19.57 Å³/atom

No. 13
First-principles (GGA-PBE) data for an optimized crystal structure of LaPPbO2, as listed in Alexandria.

a = 4.3344 Å, b = 4.3344 Å, c = 6.2875 Å
α = 90.00°, β = 90.00°, γ = 90.00°
Positions (direct):
La  0.0000  0.0000  0.0000
P  0.0000  0.0000  0.5000
Pb  0.5000  0.5000  0.5000
O  0.0000  0.5000  0.0000
O  0.5000  0.0000  0.0000

Summary:
Raw formation energy ... -1.017 eV/atom
Excess energy over the best structure of this formula in the dataset ... 0.00 eV/f.u.
SG ... P4/mmm
Energy ... -5.8090 eV/atom
Volume ... 23.63 Å³/atom

No. 14
First-principles (GGA-PBE) data for an optimized crystal structure of LaP2PbO, as listed in Alexandria.

a = 5.8616 Å, b = 5.8616 Å, c = 4.2631 Å
α = 90.00°, β = 90.00°, γ = 90.00°
Positions (direct):
La  0.0000  0.0000  0.0000
P  0.0000  0.5000  0.0000
P  0.5000  0.0000  0.0000
Pb  0.5000  0.5000  0.5000
O  0.0000  0.0000  0.5000

Summary:
Raw formation energy ... -0.236 eV/atom
Excess energy over the best structure of this formula in the dataset ... 0.09 eV/f.u.
SG ... P4/mmm
Energy ... -5.1191 eV/atom
Volume ... 29.29 Å³/atom

No. 15
First-principles (GGA-PBE) data for an optimized crystal structure of La2PPbO8, as listed in Alexandria.

a = 5.2739 Å, b = 5.2739 Å, c = 7.0486 Å
α = 90.00°, β = 90.00°, γ = 120.00°
Positions (direct):
La  0.3333  0.6667  0.3454
La  0.6667  0.3333  0.6546
P  0.0000  0.0000  0.5000
Pb  0.0000  0.0000  0.0000
O  0.1520  0.3041  0.6401
O  0.1520  0.8480  0.6401
O  0.3041  0.1520  0.3599
O  0.3333  0.6667  0.0431
O  0.6667  0.3333  0.9569
O  0.6959  0.8480  0.6401
O  0.8480  0.1520  0.3599
O  0.8480  0.6959  0.3599

Summary:
Raw formation energy ... -1.920 eV/atom
SG ... P-3m1
Energy ... -6.8065 eV/atom
Volume ... 14.15 Å³/atom

No. 16
First-principles (GGA-PBE) data for an optimized crystal structure of LaP2PbO, as listed in Alexandria.

a = 5.1562 Å, b = 5.1562 Å, c = 4.3324 Å
α = 90.00°, β = 90.00°, γ = 90.00°
Positions (direct):
La  0.0000  0.0000  0.0000
P  0.0000  0.5000  0.5000
P  0.5000  0.0000  0.5000
Pb  0.5000  0.5000  0.5000
O  0.5000  0.5000  0.0000

Summary:
Raw formation energy ... -0.254 eV/atom
Excess energy over the best structure of this formula in the dataset ... 0.00 eV/f.u.
SG ... P4/mmm
Energy ... -5.1362 eV/atom
Volume ... 23.04 Å³/atom

No. 17
First-principles (GGA-PBE) data for an optimized crystal structure of LaP2PdO8, as listed in Alexandria.

a = 7.8531 Å, b = 7.8531 Å, c = 7.8531 Å
α = 35.52°, β = 35.52°, γ = 35.52°
Positions (direct):
La  0.0000  0.0000  0.0000
P  0.2503  0.2503  0.2503
P  0.7497  0.7497  0.7497
Pd  0.5000  0.5000  0.5000
O  0.0814  0.4613  0.7643
O  0.2357  0.5387  0.9186
O  0.3212  0.3212  0.3212
O  0.4613  0.7643  0.0814
O  0.5387  0.9186  0.2357
O  0.6788  0.6788  0.6788
O  0.7643  0.0814  0.4613
O  0.9186  0.2357  0.5387

Summary:
Raw formation energy ... -1.979 eV/atom
SG ... R32
Energy ... -7.0298 eV/atom
Volume ... 12.18 Å³/atom

No. 18
First-principles (GGA-PBE) data for an optimized crystal structure of LaPmP2O8, as listed in Alexandria.

a = 5.3277 Å, b = 5.3277 Å, c = 7.4024 Å
α = 90.00°, β = 90.00°, γ = 120.00°
Positions (direct):
La  0.0000  0.0000  0.0000
Pm  0.0000  0.0000  0.5000
P  0.3333  0.6667  0.7984
P  0.6667  0.3333  0.2016
O  0.1739  0.3502  0.7255
O  0.1764  0.8261  0.7255
O  0.3333  0.6667  0.0050
O  0.3502  0.1764  0.2745
O  0.6498  0.8236  0.7255
O  0.6667  0.3333  0.9950
O  0.8236  0.1739  0.2745
O  0.8261  0.6498  0.2745

Summary:
Raw formation energy ... -2.910 eV/atom
SG ... P-3
Energy ... -7.9234 eV/atom
Volume ... 15.16 Å³/atom

No. 19
First-principles (GGA-PBE) data for an optimized crystal structure of LaPmPO, as listed in Alexandria.

a = 4.4677 Å, b = 4.4677 Å, c = 9.2212 Å
α = 90.00°, β = 90.00°, γ = 90.00°
Positions (direct):
La  0.2500  0.2500  0.1095
La  0.7500  0.7500  0.8905
Pm  0.2500  0.7500  0.5000
Pm  0.7500  0.2500  0.5000
P  0.2500  0.2500  0.6930
P  0.7500  0.7500  0.3070
O  0.2500  0.7500  0.0000
O  0.7500  0.2500  0.0000

Summary:
Raw formation energy ... -1.945 eV/atom
SG ... P4/nmm
Energy ... -6.9563 eV/atom
Volume ... 23.01 Å³/atom

No. 20
First-principles (GGA-PBE) data for an optimized crystal structure of LaPrPO, as listed in Alexandria.

a = 4.4746 Å, b = 4.4746 Å, c = 9.3393 Å
α = 90.00°, β = 90.00°, γ = 90.00°
Positions (direct):
La  0.2500  0.2500  0.1077
La  0.7500  0.7500  0.8923
Pr  0.2500  0.7500  0.5000
Pr  0.7500  0.2500  0.5000
P  0.2500  0.2500  0.6990
P  0.7500  0.7500  0.3010
O  0.2500  0.7500  0.0000
O  0.7500  0.2500  0.0000

Summary:
Raw formation energy ... -1.899 eV/atom
SG ... P4/nmm
Energy ... -6.9176 eV/atom
Volume ... 23.37 Å³/atom